! PBEsol NaNb2Fe, optimized geometry; values from VASP
&SYSTEM
  ibrav = 0, nat = 4, ntyp = 3
/
ATOMIC_SPECIES
Nb 92.91 Nb.upf
Fe 55.84 Fe.upf
Na 22.99 Na.upf
CELL_PARAMETERS angstrom
4.437 0.000 0.000
2.219 3.843 0.000
2.219 1.281 3.623
ATOMIC_POSITIONS crystal
Nb 0.750 0.750 0.750
Nb 0.250 0.250 0.250
Fe 0.500 0.500 0.500
Na 0.000 0.000 0.000
! M_tot ... 0.0 μB/f.u.
! Formation energy ... 0.794 eV per atom
! E ... -7.2075 eV/atom
! V ... 62 Å³ per cell
! Space group ... Fm-3m, No. 225